Record 1
DFT (PBE) results for a geometry-optimized HgOs2O structure.

Cell: 6.1649 6.1649 6.1649 Å, 90.00 90.00 90.00°
Last column: nearest neighbours and their distance in Å.
Space group Fm-3m (No. 225)
Inequivalent atoms, fractional coordinates:
Hg (0.0000, 0.0000, 0.0000) [4 per cell]  8 Os 2.67
Os (0.2500, 0.2500, 0.2500) [8 per cell]  4 O 2.67, 4 Hg 2.67
O (0.0000, 0.0000, 0.5000) [4 per cell]  8 Os 2.67

Summary:
- uncorrected energy (eV per atom) = -5.333
- magnetic moment (μB/f.u.) = 0.0
- D(E_F) (states/eV/cell) = 22.536
- calculated volume (Å³ per cell) = 234.3
- ΔE to the lowest computed polymorph (meV/atom) = 751


Record 2
DFT (PBE) results for a geometry-optimized HgOs2O structure.

Cell: 4.5097 4.5097 13.9437 Å, 90.00 90.00 90.00°
Last column: nearest neighbours and their distance in Å.
Space group I-42d (No. 122)
Inequivalent atoms, fractional coordinates:
Hg (0.0000, 0.0000, 0.0000) [4 per cell]  4 Os 2.75
Os (0.0991, 0.2500, 0.6250) [8 per cell]  2 O 2.12
O (0.0000, 0.0000, 0.5000) [4 per cell]  4 Os 2.12

Summary:
- uncorrected energy (eV per atom) = -6.084
- magnetic moment (μB/f.u.) = 0.0
- D(E_F) (states/eV/cell) = 12.735
- calculated volume (Å³ per cell) = 283.6
- ΔE to the lowest computed polymorph (meV/atom) = 0


Record 3
DFT (PBE) results for a geometry-optimized HgOsO4 structure.

Cell: 4.9132 5.4351 6.7086 Å, 95.06 111.40 90.01°
Last column: nearest neighbours and their distance in Å.
Space group P-1 (No. 2)
Inequivalent atoms, fractional coordinates:
Hg (0.1990, 0.2496, 0.9999) [2 per cell]  4 O 2.38-2.64
Os (0.0000, 0.5000, 0.5000) [1 per cell]  6 O 1.83-1.94
Os (0.5000, 0.0000, 0.5000) [1 per cell]  6 O 1.83-1.94
O (0.1836, 0.7523, 0.3979) [2 per cell]  2 Os 1.94
O (0.2147, 0.2523, 0.3978) [2 per cell]  2 Os 1.94
O (0.2813, 0.5260, 0.7703) [2 per cell]  1 Os 1.83
O (0.4884, 0.0258, 0.7704) [2 per cell]  1 Os 1.83

Summary:
- uncorrected energy (eV per atom) = -5.895
- magnetic moment (μB/f.u.) = 0.0
- D(E_F) (states/eV/cell) = 4.095
- calculated volume (Å³ per cell) = 166.0
- ΔE to the lowest computed polymorph (meV/atom) = 140


Record 4
DFT (PBE) results for a geometry-optimized HgPOsO2 structure.

Cell: 3.9764 3.9764 5.4219 Å, 90.00 90.00 90.00°
Last column: nearest neighbours and their distance in Å.
Space group P4/mmm (No. 123)
Inequivalent atoms, fractional coordinates:
Hg (0.0000, 0.0000, 0.0000) [1 per cell]  4 O 1.99
P (0.0000, 0.0000, 0.5000) [1 per cell]  2 Hg 2.71, 4 Os 2.81
Os (0.5000, 0.5000, 0.5000) [1 per cell]  4 P 2.81
O (0.0000, 0.5000, 0.0000) [2 per cell]  2 Hg 1.99

Summary:
- uncorrected energy (eV per atom) = -3.891
- magnetic moment (μB/f.u.) = 3.5
- D(E_F) (states/eV/cell) = 4.183
- calculated volume (Å³ per cell) = 85.7
- ΔE to the lowest computed polymorph (meV/atom) = 1839


Record 5
DFT (PBE) results for a geometry-optimized HgPOsO2 structure.

Cell: 3.7924 3.7924 5.3393 Å, 90.00 90.00 90.00°
Last column: nearest neighbours and their distance in Å.
Space group P4/mmm (No. 123)
Inequivalent atoms, fractional coordinates:
Hg (0.0000, 0.0000, 0.0000) [1 per cell]  4 P 2.68
P (0.5000, 0.5000, 0.0000) [1 per cell]  2 Os 2.67, 4 Hg 2.68
Os (0.5000, 0.5000, 0.5000) [1 per cell]  4 O 1.90
O (0.0000, 0.5000, 0.5000) [2 per cell]  2 Os 1.90

Summary:
- uncorrected energy (eV per atom) = -5.730
- magnetic moment (μB/f.u.) = 0.4
- D(E_F) (states/eV/cell) = 4.192
- calculated volume (Å³ per cell) = 76.8
- ΔE to the lowest computed polymorph (meV/atom) = 0


Record 6
DFT (PBE) results for a geometry-optimized PaHg2OsO8 structure.

Cell: 7.2001 7.3766 6.7112 Å, 90.00 90.00 90.00°
Last column: nearest neighbours and their distance in Å.
Space group Cmmm (No. 65)
Inequivalent atoms, fractional coordinates:
Pa (0.0000, 0.0000, 0.0000) [2 per cell]  6 O 2.04-2.27
Hg (0.0000, 0.5000, 0.2577) [4 per cell]  6 O 2.33-2.41
Os (0.0000, 0.0000, 0.5000) [2 per cell]  6 O 1.83-1.96
O (0.0000, 0.1733, 0.2789) [8 per cell]  1 Os 1.96
O (0.2162, 0.5000, 0.0000) [4 per cell]  1 Pa 2.04
O (0.2457, 0.5000, 0.5000) [4 per cell]  1 Os 1.83

Summary:
- uncorrected energy (eV per atom) = -6.478
- magnetic moment (μB/f.u.) = 0.0
- D(E_F) (states/eV/cell) = 6.016
- calculated volume (Å³ per cell) = 356.5